[1]
# PBE CdGa6Ag8, optimized geometry
# - magnetic moment (μB/cell) = 0.00
# - relative energy among the computed polymorphs (eV/atom) = 0.010
# - E_tot (eV for the cell shown) = -41.09
# - density of states at the Fermi level (states/eV/cell) = 3.397
data_CdGa6Ag8
_space_group_name_H-M_alt 'P 1'
_space_group_IT_number 1
_space_group_name_Hall 'P 1'
_cell_length_a 4.885
_cell_length_b 8.246
_cell_length_c 8.246
_cell_angle_alpha 120.00
_cell_angle_beta 90.00
_cell_angle_gamma 90.00
loop_
_atom_site_label
_atom_site_fract_x
_atom_site_fract_y
_atom_site_fract_z
Ag1 0.899 0.688 0.676
Ag2 0.899 0.324 0.012
Ag3 0.101 0.012 0.688
Ag4 0.899 0.988 0.312
Ga1 0.593 0.455 0.321
Cd1 0.500 0.000 0.000
Ga2 0.593 0.679 0.134
Ga3 0.407 0.134 0.455
Ga4 0.407 0.545 0.679
Ga5 0.593 0.866 0.545
Ag5 0.101 0.312 0.324
Ag6 0.101 0.676 0.988
Ag7 0.869 0.333 0.667
Ag8 0.131 0.667 0.333
Ga6 0.407 0.321 0.866

=====

[2]
# PBE KSrHf2Cl, optimized geometry
# - ΔE_f (raw) (eV per atom) = 0.35
# - magnetic moment (μB/cell) = 0.00
# - E_tot (eV for the cell shown) = -22.80
# - density of states at the Fermi level (states/eV/cell) = 5.471
data_KSrHf2Cl
_space_group_name_H-M_alt 'P 1'
_space_group_IT_number 1
_space_group_name_Hall 'P 1'
_cell_length_a 4.966
_cell_length_b 5.934
_cell_length_c 4.966
_cell_angle_alpha 90.00
_cell_angle_beta 90.00
_cell_angle_gamma 90.00
loop_
_atom_site_label
_atom_site_fract_x
_atom_site_fract_y
_atom_site_fract_z
Hf1 0.000 0.000 0.500
Sr1 0.500 0.500 0.500
Hf2 0.500 0.000 0.000
K1 0.000 0.500 0.000
Cl1 0.000 0.000 0.000

=====

The highest density of states at the Fermi level belongs to which entry? KSrHf2Cl

=====

Which of these has the highest E_tot? KSrHf2Cl

=====

What is the E_tot in the second record? -22.80 eV for the cell shown